The following is a DFT calculation (PBE) of crystalline DyHg2Ge at its relaxed geometry.

Computed properties:
total magnetization: 0.00 μB/atom
energy above the most stable polymorph in this dataset: 0.0 kJ per mole of atoms
formation enthalpy at 0 K: -0.382 eV per atom
total energy: -2.8374 eV per atom

```
data_DyHg2Ge
_chemical_formula_sum 'Dy1 Hg2 Ge1'
_symmetry_space_group_name_H-M 'P 4/m m m'
_symmetry_Int_Tables_number 123
_symmetry_space_group_name_Hall '-P 4 2'
_cell_length_a 4.302
_cell_length_b 4.302
_cell_length_c 4.916
_cell_angle_alpha 90.00
_cell_angle_beta 90.00
_cell_angle_gamma 90.00
loop_
_atom_site_label
_atom_site_fract_x
_atom_site_fract_y
_atom_site_fract_z
Dy1 0.000 0.000 0.000
Hg1 0.000 0.500 0.500
Ge1 0.500 0.500 0.000
```

***

The following is a DFT calculation (PBE) of crystalline DyHgGe2 at its relaxed geometry.

Computed properties:
total magnetization: 0.00 μB/atom
formation enthalpy at 0 K: -0.380 eV per atom
total energy: -3.9148 eV per atom

```
data_DyHgGe2
_chemical_formula_sum 'Dy1 Hg1 Ge2'
_symmetry_space_group_name_H-M 'P 4/m m m'
_symmetry_Int_Tables_number 123
_symmetry_space_group_name_Hall '-P 4 2'
_cell_length_a 4.512
_cell_length_b 4.512
_cell_length_c 4.166
_cell_angle_alpha 90.00
_cell_angle_beta 90.00
_cell_angle_gamma 90.00
loop_
_atom_site_label
_atom_site_fract_x
_atom_site_fract_y
_atom_site_fract_z
Dy1 0.000 0.000 0.000
Hg1 0.500 0.500 0.000
Ge1 0.000 0.500 0.500
```

***

The following is a DFT calculation (PBE) of crystalline Dy5Hg2Ge2 at its relaxed geometry.

Computed properties:
total magnetization: 0.00 μB/atom
formation enthalpy at 0 K: -0.643 eV per atom
total energy: -4.2933 eV per atom

```
data_Dy5Hg2Ge2
_chemical_formula_sum 'Dy20 Hg8 Ge8'
_symmetry_space_group_name_H-M 'C m c e'
_symmetry_Int_Tables_number 64
_symmetry_space_group_name_Hall '-C 2ac 2'
_cell_length_a 15.777
_cell_length_b 7.658
_cell_length_c 7.674
_cell_angle_alpha 90.00
_cell_angle_beta 90.00
_cell_angle_gamma 90.00
loop_
_atom_site_label
_atom_site_fract_x
_atom_site_fract_y
_atom_site_fract_z
Dy1 0.000 0.000 0.000
Dy2 0.129 0.177 0.329
Hg1 0.214 0.000 0.000
Ge1 0.000 0.129 0.632
```

***

The following is a DFT calculation (PBE) of crystalline Dy5HgGe2 at its relaxed geometry.

Computed properties:
total magnetization: 0.00 μB/atom
formation enthalpy at 0 K: -0.633 eV per atom
total energy: -4.7012 eV per atom

```
data_Dy5HgGe2
_chemical_formula_sum 'Dy20 Hg4 Ge8'
_symmetry_space_group_name_H-M 'I 4/m c m'
_symmetry_Int_Tables_number 140
_symmetry_space_group_name_Hall '-I 4 2c'
_cell_length_a 7.718
_cell_length_b 7.718
_cell_length_c 13.989
_cell_angle_alpha 90.00
_cell_angle_beta 90.00
_cell_angle_gamma 90.00
loop_
_atom_site_label
_atom_site_fract_x
_atom_site_fract_y
_atom_site_fract_z
Dy1 0.000 0.000 0.000
Dy2 0.164 0.336 0.142
Hg1 0.000 0.000 0.250
Ge1 0.139 0.361 0.500
```

***

The following is a DFT calculation (PBE) of crystalline DyInHgGe at its relaxed geometry.

Computed properties:
total magnetization: 0.00 μB/atom
formation enthalpy at 0 K: -0.232 eV per atom
total energy: -3.2971 eV per atom

```
data_DyInHgGe
_chemical_formula_sum 'Dy4 In4 Hg4 Ge4'
_symmetry_space_group_name_H-M 'F -4 3 m'
_symmetry_Int_Tables_number 216
_symmetry_space_group_name_Hall 'F -4 2 3'
_cell_length_a 7.264
_cell_length_b 7.264
_cell_length_c 7.264
_cell_angle_alpha 90.00
_cell_angle_beta 90.00
_cell_angle_gamma 90.00
loop_
_atom_site_label
_atom_site_fract_x
_atom_site_fract_y
_atom_site_fract_z
Dy1 0.000 0.000 0.000
In1 0.000 0.000 0.500
Hg1 0.250 0.250 0.750
Ge1 0.250 0.250 0.250
```

***

The following is a DFT calculation (PBE) of crystalline DyMgHgGe at its relaxed geometry.

Computed properties:
total magnetization: 0.00 μB/atom
formation enthalpy at 0 K: -0.385 eV per atom
total energy: -3.1642 eV per atom

```
data_DyMgHgGe
_chemical_formula_sum 'Dy4 Mg4 Hg4 Ge4'
_symmetry_space_group_name_H-M 'F -4 3 m'
_symmetry_Int_Tables_number 216
_symmetry_space_group_name_Hall 'F -4 2 3'
_cell_length_a 7.092
_cell_length_b 7.092
_cell_length_c 7.092
_cell_angle_alpha 90.00
_cell_angle_beta 90.00
_cell_angle_gamma 90.00
loop_
_atom_site_label
_atom_site_fract_x
_atom_site_fract_y
_atom_site_fract_z
Dy1 0.000 0.000 0.000
Mg1 0.000 0.000 0.500
Hg1 0.250 0.250 0.750
Ge1 0.250 0.250 0.250
```

***

The following is a DFT calculation (PBE) of crystalline NaDyHgGe at its relaxed geometry.

Computed properties:
total magnetization: 0.00 μB/atom
formation enthalpy at 0 K: -0.391 eV per atom
total energy: -3.1007 eV per atom

```
data_NaDyHgGe
_chemical_formula_sum 'Na4 Dy4 Hg4 Ge4'
_symmetry_space_group_name_H-M 'F -4 3 m'
_symmetry_Int_Tables_number 216
_symmetry_space_group_name_Hall 'F -4 2 3'
_cell_length_a 7.209
_cell_length_b 7.209
_cell_length_c 7.209
_cell_angle_alpha 90.00
_cell_angle_beta 90.00
_cell_angle_gamma 90.00
loop_
_atom_site_label
_atom_site_fract_x
_atom_site_fract_y
_atom_site_fract_z
Na1 0.000 0.000 0.000
Dy1 0.000 0.000 0.500
Hg1 0.250 0.250 0.750
Ge1 0.250 0.250 0.250
```

***

The following is a DFT calculation (PBE) of crystalline NdDyHgGe at its relaxed geometry.

Computed properties:
total magnetization: 0.00 μB/atom
formation enthalpy at 0 K: -0.555 eV per atom
total energy: -4.1274 eV per atom

```
data_NdDyHgGe
_chemical_formula_sum 'Nd4 Dy4 Hg4 Ge4'
_symmetry_space_group_name_H-M 'F -4 3 m'
_symmetry_Int_Tables_number 216
_symmetry_space_group_name_Hall 'F -4 2 3'
_cell_length_a 7.401
_cell_length_b 7.401
_cell_length_c 7.401
_cell_angle_alpha 90.00
_cell_angle_beta 90.00
_cell_angle_gamma 90.00
loop_
_atom_site_label
_atom_site_fract_x
_atom_site_fract_y
_atom_site_fract_z
Nd1 0.000 0.000 0.000
Dy1 0.000 0.000 0.500
Hg1 0.250 0.250 0.250
Ge1 0.250 0.250 0.750
```

***

Which of these has the highest total energy?
DyHg2Ge